Entry w
The following is a PBE-GGA calculation of an optimized crystal structure of VGeAsBr, from Alexandria via LeMat-Bulk.

Geometry as POSCAR:
```
VGeAsBr
1.0
2.986 -1.734 0.000
2.986 1.734 0.000
-0.061 0.000 8.305
V Ge As Br
1 1 1 1
Direct
0.000 0.000 0.000 V
0.002 0.002 0.389 Ge
0.336 0.336 0.184 As
0.331 0.331 0.799 Br
```

Output
crystal system	monoclinic
M_tot	0.0	Bohr magnetons per cell
density of states at the Fermi level	2.56	states/eV/cell
SG	Cm, No. 8

=====

Entry x
The following is a PBE-GGA calculation of an optimized crystal structure of VGeAsBr, from Alexandria via LeMat-Bulk.

Geometry as POSCAR:
```
VGeAsBr
1.0
2.821 -1.641 0.000
2.821 1.641 0.000
-2.407 0.000 9.585
V Ge As Br
1 1 1 1
Direct
0.000 0.000 0.000 V
0.848 0.848 0.427 Ge
0.737 0.737 0.166 As
0.591 0.591 0.824 Br
```

Output
crystal system	monoclinic
M_tot	0.0	Bohr magnetons per cell
density of states at the Fermi level	2.23	states/eV/cell
SG	Cm, No. 8

=====

Most stable structure, least stable structure: entry x, entry w.

=====

Entry w
The following is a PBE-GGA calculation of an optimized crystal structure of MgZn2Si, from Alexandria via LeMat-Bulk.

Geometry as POSCAR:
```
MgZn2Si
1.0
1.569 0.906 8.201
-1.569 0.906 8.201
0.000 -1.812 8.201
Mg Zn Si
1 2 1
Direct
0.000 0.000 0.000 Mg
0.243 0.243 0.243 Zn
0.757 0.757 0.757 Zn
0.500 0.500 0.500 Si
```

Output
crystal system	trigonal
M_tot	0.0	Bohr magnetons per cell
density of states at the Fermi level	2.42	states/eV/cell
SG	R-3m, No. 166

=====

Entry x
The following is a PBE-GGA calculation of an optimized crystal structure of MgZn2Si, from Alexandria via LeMat-Bulk.

Geometry as POSCAR:
```
MgZn2Si
1.0
4.244 -1.559 0.000
4.244 1.559 0.000
-1.148 0.000 5.162
Mg Zn Si
1 2 1
Direct
0.000 0.000 0.000 Mg
0.504 0.504 0.489 Zn
0.758 0.758 0.285 Zn
0.246 0.246 0.726 Si
```

Output
crystal system	monoclinic
M_tot	0.0	Bohr magnetons per cell
density of states at the Fermi level	1.31	states/eV/cell
SG	Cm, No. 8

=====

Most stable structure, least stable structure: entry x, entry w.

=====

Entry w
The following is a PBE-GGA calculation of an optimized crystal structure of BeB, from Alexandria via LeMat-Bulk.

Geometry as POSCAR:
```
BeB
1.0
-3.647 3.647 1.488
3.647 -3.647 1.488
3.647 3.647 -1.488
Be B
4 4
Direct
0.062 0.658 0.720 Be
0.342 0.062 0.404 Be
0.658 0.938 0.596 Be
0.938 0.342 0.280 Be
0.207 0.278 0.485 B
0.278 0.793 0.072 B
0.722 0.207 0.928 B
0.793 0.722 0.515 B
```

Output
crystal system	tetragonal
M_tot	0.0	Bohr magnetons per cell
density of states at the Fermi level	1.73	states/eV/cell
SG	I4/m, No. 87

=====

Entry x
The following is a PBE-GGA calculation of an optimized crystal structure of BeB, from Alexandria via LeMat-Bulk.

Geometry as POSCAR:
```
BeB
1.0
2.929 0.000 0.000
1.331 3.296 0.000
1.341 1.256 3.103
Be B
2 2
Direct
0.000 0.000 0.000 Be
0.363 0.627 0.631 Be
0.197 0.310 0.298 B
0.686 0.090 0.538 B
```

Output
crystal system	triclinic
M_tot	0.0	Bohr magnetons per cell
density of states at the Fermi level	0.73	states/eV/cell
SG	P1, No. 1

=====

Most stable structure, least stable structure: entry x, entry w.